No. 1
First-principles (PBEsol) data for crystalline SiRhAu2 at its relaxed geometry, as listed in Alexandria via LeMat-Bulk.

## Properties
As for the total moment: 0.0 μB per cell. For the volume, the calculation gives 61.3 Å³/f.u. The density is 14.2 g/cm3.

Cell lengths 4.421, 2.956, 4.942 Å; angles 90.00, 108.28, 90.00 degrees
Space group P2/m (No. 10)
Inequivalent atoms, fractional coordinates:
Si 0.000 0.000 0.000 x1
Rh 0.500 0.500 0.000 x1
Au 0.000 0.500 0.500 x1
Au 0.500 0.000 0.500 x1



No. 2
First-principles (PBEsol) data for crystalline SiRh2Au at its relaxed geometry, as listed in Alexandria via LeMat-Bulk.

## Properties
As for the total moment: 0.0 μB per cell. For the volume, the calculation gives 55.5 Å³/f.u. The density is 12.9 g/cm3.

Cell lengths 2.846, 2.846, 6.858 Å; angles 90.00, 90.00, 90.00 degrees
Space group P4/mmm (No. 123)
Inequivalent atoms, fractional coordinates:
Si 0.000 0.000 0.000 x1
Rh 0.500 0.500 0.203 x2
Au 0.000 0.000 0.500 x1



No. 3
First-principles (PBEsol) data for crystalline SiRh2Au at its relaxed geometry, as listed in Alexandria via LeMat-Bulk.

## Properties
As for the total moment: 0.0 μB per cell. For the volume, the calculation gives 57.9 Å³/f.u. The density is 12.4 g/cm3.

Cell lengths 2.738, 3.656, 5.787 Å; angles 90.00, 90.00, 90.00 degrees
Space group Pmm2 (No. 25)
Inequivalent atoms, fractional coordinates:
Si 0.000 0.000 0.000 x1
Rh 0.000 0.000 0.585 x1
Rh 0.500 0.500 0.852 x1
Au 0.500 0.500 0.325 x1



No. 4
First-principles (PBEsol) data for crystalline SiRh2Au at its relaxed geometry, as listed in Alexandria via LeMat-Bulk.

## Properties
As for the total moment: 0.0 μB per cell. For the volume, the calculation gives 56.4 Å³/f.u. The density is 12.7 g/cm3.

Cell lengths 2.885, 2.885, 6.773 Å; angles 90.00, 90.00, 90.00 degrees
Space group P4mm (No. 99)
Inequivalent atoms, fractional coordinates:
Si 0.000 0.000 0.000 x1
Rh 0.000 0.000 0.537 x1
Rh 0.500 0.500 0.814 x1
Au 0.500 0.500 0.257 x1



For reference, final energy by record: -0.402 -0.515 -0.486 -0.485 Ry per atom.